# PBE-GGA AlCuTe2, relaxed
data_AlCuTe2
_chemical_formula_sum 'Al2 Cu2 Te4'
_cell_length_a 6.902
_cell_length_b 4.011
_cell_length_c 6.948
_cell_angle_alpha 90.00
_cell_angle_beta 109.08
_cell_angle_gamma 90.00
_symmetry_space_group_name_H-M 'C 1 2/m 1'
_symmetry_Int_Tables_number 12
loop_
_symmetry_equiv_pos_as_xyz
'x,y,z'
'-x,-y,-z'
'-x,y,-z'
'x,-y,z'
'x+1/2,y+1/2,z'
'-x+1/2,-y+1/2,-z'
'-x+1/2,y+1/2,-z'
'x+1/2,-y+1/2,z'
loop_
_atom_site_label
_atom_site_type_symbol
_atom_site_fract_x
_atom_site_fract_y
_atom_site_fract_z
Al1 Al 0.000 0.000 0.000
Cu1 Cu 0.000 0.500 0.500
Te1 Te 0.249 0.500 0.255
# energy: -3.67 eV per atom
# calculated density: 6.32 g/cm³
# magnetic moment: 0.000 μB per cell